1.
Entry from the Alexandria database: a relaxed structure of RbLa2GaH (PBE).

Cell lengths 5.9293, 5.9293, 4.1780 Å; angles 90.00, 90.00, 90.00 degrees
Last column: nearest neighbours and their distance in Å.
Fractional coordinates of all 5 atoms:
Rb 0.0000 0.0000 0.0000  2 H 2.09
La 0.0000 0.5000 0.0000  2 Rb 2.96
La 0.5000 0.0000 0.0000  2 Rb 2.96
Ga 0.5000 0.5000 0.5000  8 La 3.63
H 0.0000 0.0000 0.5000  2 Rb 2.09

Magnetization (Bohr magnetons per cell): 0.00
SG: P4/mmm, No. 123
Total energy (eV/atom): -2.57



2.
Entry from the Alexandria database: a relaxed structure of LaGaH6Rh3 (PBE).

Cell lengths 4.8582, 4.8582, 4.8582 Å; angles 96.61, 96.61, 96.61 degrees
Last column: nearest neighbours and their distance in Å.
Fractional coordinates of all 11 atoms:
La 0.0000 0.0000 0.0000  12 H 2.65-2.67
Ga 0.4144 0.4144 0.4144  6 Rh 2.49-2.53, 6 H 2.61
H 0.1354 0.4990 0.8390  2 Rh 1.76-1.83
H 0.1354 0.8390 0.4990  2 Rh 1.76-1.83
H 0.4990 0.1354 0.8390  2 Rh 1.76-1.83
H 0.4990 0.8390 0.1354  2 Rh 1.76-1.83
H 0.8390 0.1354 0.4990  2 Rh 1.76-1.83
H 0.8390 0.4990 0.1354  2 Rh 1.76-1.83
Rh 0.5119 0.5119 0.9408  4 H 1.76-1.83
Rh 0.5119 0.9408 0.5119  4 H 1.76-1.83
Rh 0.9408 0.5119 0.5119  4 H 1.76-1.83

Magnetization (Bohr magnetons per cell): 0.00
SG: R3m, No. 160
Total energy (eV/atom): -4.94



3.
Entry from the Alexandria database: a relaxed structure of LaGaHRh2 (PBE).

Cell lengths 6.0154, 6.0154, 7.0075 Å; angles 90.00, 90.00, 140.45 degrees
Last column: nearest neighbours and their distance in Å.
Fractional coordinates of all 10 atoms:
La 0.0709 0.9291 0.7500  4 H 2.80, 4 Rh 3.05
La 0.9291 0.0709 0.2500  4 H 2.80, 4 Rh 3.05
Ga 0.2068 0.7932 0.2500  6 Rh 2.56-2.57
Ga 0.7932 0.2068 0.7500  6 Rh 2.56-2.57
H 0.5000 0.5000 0.0000  2 Rh 1.80
H 0.5000 0.5000 0.5000  2 Rh 1.80
Rh 0.3435 0.6565 0.5432  1 H 1.80
Rh 0.3435 0.6565 0.9568  1 H 1.80
Rh 0.6565 0.3435 0.0432  1 H 1.80
Rh 0.6565 0.3435 0.4568  1 H 1.80

Magnetization (Bohr magnetons per cell): 0.00
SG: Cmcm, No. 63
Total energy (eV/atom): -5.87



4.
Entry from the Alexandria database: a relaxed structure of LaGaH8Rh2 (PBE).

Cell lengths 4.7531, 4.7531, 7.4270 Å; angles 110.10, 110.10, 53.63 degrees
Last column: nearest neighbours and their distance in Å.
Fractional coordinates of all 12 atoms:
La 0.0000 0.0000 0.0000  6 H 2.45-2.61
Ga 0.0000 0.0000 0.5000  4 Rh 2.57, 8 H 2.70-2.84
H 0.2468 0.4683 0.6796  1 H 0.95
H 0.2536 0.2536 0.3049  1 Rh 1.64
H 0.3459 0.3459 0.0479  1 Rh 1.69
H 0.4683 0.2468 0.6796  1 H 0.95
H 0.5317 0.7532 0.3204  1 H 0.95
H 0.6541 0.6541 0.9521  1 Rh 1.69
H 0.7464 0.7464 0.6951  1 Rh 1.64
H 0.7532 0.5317 0.3204  1 H 0.95
Rh 0.4427 0.4427 0.2938  4 H 1.64-1.70
Rh 0.5573 0.5573 0.7062  4 H 1.64-1.70

Magnetization (Bohr magnetons per cell): 0.00
SG: C2/m, No. 12
Total energy (eV/atom): -4.35